Record 1
Computed, not measured: a relaxed LaHfC2 crystal at the PBE level of DFT.

Cell and atoms, written as POSCAR:
```
LaHfC2
1.0
-2.107 -4.757 -1.840
4.176 -0.466 -3.577
3.754 -5.174 0.800
Hf C La
2 4 2
direct
0.000 0.000 0.000
0.750 0.250 0.500
0.678 0.125 0.250
0.375 0.322 0.750
0.875 0.928 0.750
0.072 0.625 0.250
0.250 0.750 0.500
0.500 0.500 0.000
```

Excess energy over the best structure of this formula in the dataset ... 0 meV/atom
Total DFT energy (no corrections) ... -8.260 eV per atom
Energy relative to the elements ... 0.072 eV/atom

---

Record 2
Computed, not measured: a relaxed ZrTcNi4 crystal at the PBE level of DFT.

Cell and atoms, written as POSCAR:
```
ZrTcNi4
1.0
0.000 3.403 3.403
3.403 0.000 3.403
3.403 3.403 0.000
Ni Tc Zr
4 1 1
direct
0.376 0.376 0.873
0.376 0.376 0.376
0.376 0.873 0.376
0.873 0.376 0.376
0.750 0.750 0.750
0.000 0.000 0.000
```

Total DFT energy (no corrections) ... -7.200 eV per atom
Energy relative to the elements ... -0.193 eV/atom

---

Record 3
Computed, not measured: a relaxed Ca2HoGaTe5 crystal at the PBE level of DFT.

Cell and atoms, written as POSCAR:
```
Ca2HoGaTe5
1.0
4.282 0.000 0.000
-2.141 9.876 0.000
0.000 0.000 13.457
Te Ho Ca Ga
10 2 4 2
direct
0.643 0.287 0.504
0.708 0.416 0.182
0.956 0.912 0.554
0.314 0.628 0.358
0.503 0.006 0.267
0.686 0.372 0.858
0.357 0.713 0.004
0.292 0.584 0.682
0.044 0.088 0.054
0.497 0.994 0.767
0.796 0.592 0.523
0.204 0.408 0.023
0.124 0.247 0.322
0.881 0.761 0.177
0.119 0.239 0.677
0.876 0.753 0.822
0.560 0.119 0.936
0.440 0.881 0.436
```

Total DFT energy (no corrections) ... -4.195 eV per atom
Uncorrected formation energy ... -1.160 eV/atom

---

Record 4
Computed, not measured: a relaxed CaTlOs2 crystal at the PBE level of DFT.

Cell and atoms, written as POSCAR:
```
CaTlOs2
1.0
2.897 0.000 0.000
0.000 2.897 0.000
0.000 0.000 9.086
Ca Os Tl
1 2 1
direct
0.500 0.500 0.750
0.000 0.000 0.492
0.000 0.000 0.008
0.500 0.500 0.250
```

Excess energy over the best structure of this formula in the dataset ... 758 meV/atom
Total DFT energy (no corrections) ... -5.652 eV per atom
Energy relative to the elements ... 1.055 eV/atom

---

Record 5
Computed, not measured: a relaxed HfGaO2 crystal at the PBE level of DFT.

Cell and atoms, written as POSCAR:
```
HfGaO2
1.0
-3.168 1.607 4.662
-4.273 -3.660 -1.642
-1.683 -4.575 4.118
O Ga Hf
4 2 2
direct
0.875 0.046 0.750
0.375 0.204 0.750
0.954 0.625 0.250
0.796 0.125 0.250
0.500 0.500 0.000
0.250 0.750 0.500
0.000 0.000 0.000
0.750 0.250 0.500
```

Total DFT energy (no corrections) ... -7.798 eV per atom
Uncorrected formation energy ... -2.074 eV/atom

---

Record 6
Computed, not measured: a relaxed ZrSn3Ru4 crystal at the PBE level of DFT.

Cell and atoms, written as POSCAR:
```
ZrSn3Ru4
1.0
4.417 0.000 -1.192
-0.317 4.410 -1.175
-0.424 -0.485 7.207
Sn Zr Ru
3 1 4
direct
0.252 0.752 0.504
0.748 0.248 0.496
0.000 0.500 0.000
0.500 0.000 0.000
0.127 0.127 0.254
0.627 0.627 0.254
0.373 0.373 0.746
0.873 0.873 0.746
```

Total DFT energy (no corrections) ... -7.536 eV per atom
Energy relative to the elements ... -0.329 eV/atom

---

Record 7
Computed, not measured: a relaxed Ba2NaZnCd crystal at the PBE level of DFT.

Cell and atoms, written as POSCAR:
```
Ba2NaZnCd
1.0
6.514 0.000 0.000
0.000 6.514 0.000
0.000 0.000 5.109
Na Cd Ba Zn
1 1 2 1
direct
0.500 0.500 0.500
0.000 0.000 0.500
0.000 0.500 0.000
0.500 0.000 0.000
0.000 0.000 0.000
```

Excess energy over the best structure of this formula in the dataset ... 0 meV/atom
Total DFT energy (no corrections) ... -1.508 eV per atom
Energy relative to the elements ... -0.037 eV/atom

---

Record 8
Computed, not measured: a relaxed LaHf2NiP crystal at the PBE level of DFT.

Cell and atoms, written as POSCAR:
```
LaHf2NiP
1.0
-4.552 -1.496 0.338
0.650 -0.766 5.361
-1.422 4.515 0.818
La Hf P Ni
1 2 1 1
direct
0.000 0.500 0.000
0.000 0.000 0.500
0.500 0.000 0.000
0.000 0.000 0.000
0.500 0.500 0.500
```

Total DFT energy (no corrections) ... -7.107 eV per atom
Energy relative to the elements ... 0.098 eV/atom

---

Record 9
Computed, not measured: a relaxed AlZn2Re crystal at the PBE level of DFT.

Cell and atoms, written as POSCAR:
```
AlZn2Re
1.0
6.986 0.000 0.000
0.000 6.986 0.000
3.493 3.493 2.558
Zn Al Re
4 2 2
direct
0.619 0.125 0.250
0.131 0.625 0.250
0.375 0.381 0.750
0.875 0.869 0.750
0.500 0.500 0.000
0.250 0.750 0.500
0.000 0.000 0.000
0.750 0.250 0.500
```

Total DFT energy (no corrections) ... -4.222 eV per atom
Energy relative to the elements ... 0.463 eV/atom

---

Record 10
Computed, not measured: a relaxed Ho6TmAg crystal at the PBE level of DFT.

Cell and atoms, written as POSCAR:
```
Ho6TmAg
1.0
-3.744 2.457 -8.042
-5.750 -4.596 -3.994
-5.650 1.368 -2.222
Ho Ag Tm
6 1 1
direct
0.568 0.238 0.149
0.432 0.762 0.851
0.956 0.568 0.237
0.238 0.044 0.286
0.044 0.432 0.763
0.762 0.956 0.714
0.000 0.000 0.000
0.500 0.500 0.500
```

Total DFT energy (no corrections) ... -4.301 eV per atom
Energy relative to the elements ... 0.047 eV/atom

---

Record 11
Computed, not measured: a relaxed KZrTl2 crystal at the PBE level of DFT.

Cell and atoms, written as POSCAR:
```
KZrTl2
1.0
5.667 0.000 0.000
0.000 5.667 0.000
2.833 2.833 9.772
Zr Tl K
2 4 2
direct
0.750 0.250 0.500
0.000 0.000 0.000
0.875 0.980 0.750
0.730 0.125 0.250
0.375 0.270 0.750
0.020 0.625 0.250
0.500 0.500 0.000
0.250 0.750 0.500
```

Excess energy over the best structure of this formula in the dataset ... 518 meV/atom
Total DFT energy (no corrections) ... -3.040 eV per atom
Energy relative to the elements ... 0.555 eV/atom

---

Record 12
Computed, not measured: a relaxed Sm3Er2Pd2 crystal at the PBE level of DFT.

Cell and atoms, written as POSCAR:
```
Sm3Er2Pd2
1.0
0.702 -2.904 -2.311
0.448 -2.240 6.033
-8.683 1.003 -0.813
Pd Sm Er
2 3 2
direct
0.947 0.121 0.774
0.053 0.879 0.226
0.174 0.787 0.560
0.826 0.213 0.440
0.500 0.000 0.000
0.652 0.492 0.813
0.348 0.508 0.187
```

Total DFT energy (no corrections) ... -5.289 eV per atom
Energy relative to the elements ... -0.479 eV/atom

---

What did the first record say?
Computed, not measured: a relaxed LaHfC2 crystal at the PBE level of DFT.

Cell and atoms, written as POSCAR:
```
LaHfC2
1.0
-2.107 -4.757 -1.840
4.176 -0.466 -3.577
3.754 -5.174 0.800
Hf C La
2 4 2
direct
0.000 0.000 0.000
0.750 0.250 0.500
0.678 0.125 0.250
0.375 0.322 0.750
0.875 0.928 0.750
0.072 0.625 0.250
0.250 0.750 0.500
0.500 0.500 0.000
```

Excess energy over the best structure of this formula in the dataset ... 0 meV/atom
Total DFT energy (no corrections) ... -8.260 eV per atom
Energy relative to the elements ... 0.072 eV/atom

---

Copy entry 9 word for word.
Computed, not measured: a relaxed AlZn2Re crystal at the PBE level of DFT.

Cell and atoms, written as POSCAR:
```
AlZn2Re
1.0
6.986 0.000 0.000
0.000 6.986 0.000
3.493 3.493 2.558
Zn Al Re
4 2 2
direct
0.619 0.125 0.250
0.131 0.625 0.250
0.375 0.381 0.750
0.875 0.869 0.750
0.500 0.500 0.000
0.250 0.750 0.500
0.000 0.000 0.000
0.750 0.250 0.500
```

Total DFT energy (no corrections) ... -4.222 eV per atom
Energy relative to the elements ... 0.463 eV/atom

---

What did the second record say?
Computed, not measured: a relaxed ZrTcNi4 crystal at the PBE level of DFT.

Cell and atoms, written as POSCAR:
```
ZrTcNi4
1.0
0.000 3.403 3.403
3.403 0.000 3.403
3.403 3.403 0.000
Ni Tc Zr
4 1 1
direct
0.376 0.376 0.873
0.376 0.376 0.376
0.376 0.873 0.376
0.873 0.376 0.376
0.750 0.750 0.750
0.000 0.000 0.000
```

Total DFT energy (no corrections) ... -7.200 eV per atom
Energy relative to the elements ... -0.193 eV/atom